[1]
Below is a relaxed structure of Pa2Si7Tc12, with properties calculated at the PBE level.

Structure (POSCAR):
```
Pa2Si7Tc12
1.0
9.724 0.000 0.000
-4.862 8.421 0.000
0.000 0.000 3.983
Pa Si Tc
2 7 12
direct
0.000 0.000 0.000
0.333 0.667 0.500
0.082 0.645 0.000
0.262 0.058 0.500
0.355 0.437 0.000
0.563 0.918 0.000
0.667 0.333 0.500
0.795 0.738 0.500
0.942 0.205 0.500
0.055 0.772 0.500
0.079 0.386 0.000
0.228 0.282 0.500
0.308 0.921 0.000
0.457 0.238 0.000
0.510 0.045 0.500
0.535 0.490 0.500
0.614 0.692 0.000
0.718 0.945 0.500
0.762 0.219 0.000
0.781 0.543 0.000
0.955 0.465 0.500
```

formation energy without anion corrections = -9.06 kcal/mol of atoms
total moment = 0.00 μB per formula unit

[2]
Below is a relaxed structure of Pa2SiTc, with properties calculated at the PBE level.

Structure (POSCAR):
```
Pa2SiTc
1.0
3.657 0.000 0.000
0.000 3.657 0.000
0.000 0.000 6.041
Pa Si Tc
2 1 1
direct
0.000 0.000 0.236
0.000 0.000 0.764
0.500 0.500 0.000
0.500 0.500 0.500
```

formation energy without anion corrections = -7.86 kcal/mol of atoms
total moment = 0.00 μB per formula unit
polymorph energy (0 for the lowest one) = 0.0859 eV/atom

[3]
Below is a relaxed structure of PaSiTc2, with properties calculated at the PBE level.

Structure (POSCAR):
```
PaSiTc2
1.0
5.742 0.000 0.000
0.000 4.393 0.000
0.000 0.000 11.279
Pa Si Tc
4 4 8
direct
0.128 0.250 0.116
0.372 0.750 0.616
0.628 0.250 0.384
0.872 0.750 0.884
0.003 0.250 0.572
0.497 0.750 0.072
0.503 0.250 0.928
0.997 0.750 0.428
0.142 0.250 0.367
0.150 0.250 0.774
0.350 0.750 0.274
0.358 0.750 0.867
0.642 0.250 0.133
0.650 0.250 0.726
0.850 0.750 0.226
0.858 0.750 0.633
```

formation energy without anion corrections = -7.40 kcal/mol of atoms
total moment = 0.00 μB per formula unit
polymorph energy (0 for the lowest one) = 0.0965 eV/atom

[4]
Below is a relaxed structure of PaSiTc2, with properties calculated at the PBE level.

Structure (POSCAR):
```
PaSiTc2
1.0
0.000 3.233 3.233
3.233 0.000 3.233
3.233 3.233 0.000
Pa Si Tc
1 1 2
direct
0.000 0.000 0.000
0.500 0.500 0.500
0.250 0.250 0.250
0.750 0.750 0.750
```

formation energy without anion corrections = -7.35 kcal/mol of atoms
total moment = 0.00 μB per formula unit
polymorph energy (0 for the lowest one) = 0.0985 eV/atom

[5]
Below is a relaxed structure of PaSi4Tc4, with properties calculated at the PBE level.

Structure (POSCAR):
```
PaSi4Tc4
1.0
6.053 0.000 0.000
0.000 6.053 0.000
0.000 0.000 7.840
Pa Si Tc
2 8 8
direct
0.250 0.750 0.250
0.750 0.250 0.750
0.058 0.250 0.087
0.250 0.058 0.587
0.250 0.442 0.587
0.442 0.250 0.087
0.558 0.750 0.913
0.750 0.558 0.413
0.750 0.942 0.413
0.942 0.750 0.913
0.007 0.750 0.610
0.250 0.507 0.890
0.250 0.993 0.890
0.493 0.750 0.610
0.507 0.250 0.390
0.750 0.007 0.110
0.750 0.493 0.110
0.993 0.250 0.390
```

formation energy without anion corrections = -10.96 kcal/mol of atoms
total moment = 0.00 μB per formula unit

[6]
Below is a relaxed structure of Pa2SiTc, with properties calculated at the PBE level.

Structure (POSCAR):
```
Pa2SiTc
1.0
4.087 0.000 0.000
0.000 1.998 5.184
0.000 -1.998 5.184
Pa Si Tc
2 1 1
direct
0.000 0.000 0.000
0.500 0.280 0.280
0.000 0.717 0.717
0.500 0.555 0.555
```

formation energy without anion corrections = -9.84 kcal/mol of atoms
total moment = 0.00 μB per formula unit
polymorph energy (0 for the lowest one) = 0.0000 eV/atom

[7]
Below is a relaxed structure of Pa2Si4Tc3, with properties calculated at the PBE level.

Structure (POSCAR):
```
Pa2Si4Tc3
1.0
6.835 0.000 0.000
0.000 6.737 0.000
-2.464 0.000 6.499
Pa Si Tc
4 8 6
direct
0.189 0.164 0.049
0.189 0.336 0.549
0.811 0.664 0.451
0.811 0.836 0.951
0.106 0.563 0.877
0.106 0.937 0.377
0.482 0.651 0.635
0.482 0.849 0.135
0.518 0.151 0.865
0.518 0.349 0.365
0.894 0.063 0.623
0.894 0.437 0.123
0.238 0.634 0.259
0.238 0.866 0.759
0.500 0.000 0.500
0.500 0.500 0.000
0.762 0.134 0.241
0.762 0.366 0.741
```

formation energy without anion corrections = -13.96 kcal/mol of atoms
total moment = 0.00 μB per formula unit
polymorph energy (0 for the lowest one) = 0.0000 eV/atom

[8]
Below is a relaxed structure of PaSi3Tc3, with properties calculated at the PBE level.

Structure (POSCAR):
```
PaSi3Tc3
1.0
7.608 0.000 0.000
0.000 4.334 0.000
-3.585 0.000 6.972
Pa Si Tc
2 6 6
direct
0.235 0.250 0.348
0.765 0.750 0.652
0.042 0.250 0.927
0.133 0.750 0.572
0.458 0.750 0.266
0.542 0.250 0.734
0.867 0.250 0.428
0.958 0.750 0.073
0.196 0.750 0.944
0.215 0.250 0.727
0.480 0.250 0.112
0.520 0.750 0.888
0.785 0.750 0.273
0.804 0.250 0.056
```

formation energy without anion corrections = -10.38 kcal/mol of atoms
total moment = 0.00 μB per formula unit

[9]
Below is a relaxed structure of Pa3Si8Tc3, with properties calculated at the PBE level.

Structure (POSCAR):
```
Pa3Si8Tc3
1.0
-2.075 4.973 5.656
2.075 -4.973 5.656
2.075 4.973 -5.656
Pa Si Tc
3 8 3
direct
0.000 0.000 0.000
0.320 0.320 0.000
0.680 0.680 0.000
0.035 0.664 0.370
0.155 0.874 0.281
0.294 0.664 0.630
0.406 0.126 0.281
0.594 0.874 0.719
0.706 0.336 0.370
0.845 0.126 0.719
0.965 0.336 0.630
0.285 0.500 0.785
0.500 0.000 0.500
0.715 0.500 0.215
```

formation energy without anion corrections = -11.20 kcal/mol of atoms
total moment = 0.00 μB per formula unit

[10]
Below is a relaxed structure of Pa3Si3Tc2, with properties calculated at the PBE level.

Structure (POSCAR):
```
Pa3Si3Tc2
1.0
-2.061 2.192 8.380
2.061 -2.192 8.380
2.061 2.192 -8.380
Pa Si Tc
3 3 2
direct
0.000 0.000 0.000
0.366 0.866 0.500
0.634 0.134 0.500
0.164 0.664 0.500
0.500 0.500 0.000
0.836 0.336 0.500
0.250 0.250 0.000
0.750 0.750 0.000
```

formation energy without anion corrections = -9.77 kcal/mol of atoms
total moment = 0.00 μB per formula unit

[11]
Below is a relaxed structure of Pa2Si5Tc3, with properties calculated at the PBE level.

Structure (POSCAR):
```
Pa2Si5Tc3
1.0
-4.826 6.144 2.837
4.826 -6.144 2.837
4.826 6.144 -2.837
Pa Si Tc
4 10 6
direct
0.135 0.234 0.369
0.365 0.734 0.100
0.635 0.266 0.900
0.865 0.766 0.631
0.045 0.750 0.295
0.097 0.670 0.766
0.250 0.250 0.000
0.403 0.170 0.573
0.455 0.750 0.705
0.545 0.250 0.295
0.597 0.830 0.427
0.750 0.750 0.000
0.903 0.330 0.234
0.955 0.250 0.705
0.149 0.908 0.057
0.250 0.750 0.500
0.351 0.408 0.759
0.649 0.592 0.241
0.750 0.250 0.500
0.851 0.092 0.943
```

formation energy without anion corrections = -15.08 kcal/mol of atoms
total moment = 0.00 μB per formula unit

[12]
Below is a relaxed structure of Pa2Si4Tc5, with properties calculated at the PBE level.

Structure (POSCAR):
```
Pa2Si4Tc5
1.0
-2.710 3.919 4.359
2.710 -3.919 4.359
2.710 3.919 -4.359
Pa Si Tc
2 4 5
direct
0.227 0.000 0.227
0.773 0.000 0.773
0.087 0.341 0.747
0.406 0.659 0.747
0.594 0.341 0.253
0.913 0.659 0.253
0.000 0.500 0.500
0.296 0.041 0.746
0.296 0.550 0.254
0.704 0.450 0.746
0.704 0.959 0.254
```

formation energy without anion corrections = -10.04 kcal/mol of atoms
total moment = 0.00 μB per formula unit

Per-record ρ, Mg/m³: 9.34 12.09 10.63 11.18 8.50 11.54 9.64 8.80 8.62 10.67 8.85 9.54